No. 1
Entry from the Alexandria database: CuNiAg2F after structural relaxation (PBE with a Hubbard U).

The structure in CIF format:
```
data_CuNiAg2F
_cell_length_a 4.742
_cell_length_b 4.742
_cell_length_c 3.734
_cell_angle_alpha 90.00
_cell_angle_beta 90.00
_cell_angle_gamma 90.00
_space_group_name_H-M_alt 'P 4/m m m'
_space_group_IT_number 123
_space_group_name_Hall '-P 4 2'
loop_
_atom_site_label
_atom_site_type_symbol
_atom_site_fract_x
_atom_site_fract_y
_atom_site_fract_z
Cu1 Cu 0.000 0.000 0.000
Ni1 Ni 0.500 0.500 0.000
Ag1 Ag 0.000 0.500 0.500
F1 F 0.000 0.000 0.500
```


No. 2
Entry from the Alexandria database: CuNiAg2F6 after structural relaxation (PBE with a Hubbard U).

The structure in CIF format:
```
data_CuNiAg2F6
_cell_length_a 5.407
_cell_length_b 5.489
_cell_length_c 10.314
_cell_angle_alpha 90.00
_cell_angle_beta 121.52
_cell_angle_gamma 90.00
_space_group_name_H-M_alt 'P 1 21/c 1'
_space_group_IT_number 14
loop_
_space_group_symop_operation_xyz
'x,y,z'
'-x,-y,-z'
'-x,y+1/2,-z+1/2'
'x,-y+1/2,z+1/2'
loop_
_atom_site_label
_atom_site_type_symbol
_atom_site_fract_x
_atom_site_fract_y
_atom_site_fract_z
Cu1 Cu 0.000 0.000 0.000
Ni1 Ni 0.500 0.000 0.500
Ag1 Ag 0.262 0.038 0.750
F1 F 0.203 0.018 0.277
F2 F 0.233 0.709 0.042
F3 F 0.335 0.194 0.043
```


No. 3
Entry from the Alexandria database: CuNiAg2F8 after structural relaxation (PBE with a Hubbard U).

The structure in CIF format:
```
data_CuNiAg2F8
_cell_length_a 6.310
_cell_length_b 6.310
_cell_length_c 8.431
_cell_angle_alpha 90.00
_cell_angle_beta 90.00
_cell_angle_gamma 90.00
_space_group_name_H-M_alt 'I -4 m 2'
_space_group_IT_number 119
_space_group_name_Hall 'I -4 -2'
loop_
_atom_site_label
_atom_site_type_symbol
_atom_site_fract_x
_atom_site_fract_y
_atom_site_fract_z
Cu1 Cu 0.000 0.000 0.000
Ni1 Ni 0.000 0.500 0.750
Ag1 Ag 0.000 0.000 0.500
Ag2 Ag 0.000 0.500 0.250
F1 F 0.000 0.209 0.716
F2 F 0.000 0.290 0.026
```


Number 1: E_tot -2.301 eV/atom. Number 2: E_tot -3.841 eV/atom. Number 3: E_tot -3.573 eV/atom.